First-principles (GGA-PBE) data for an optimized crystal structure of Pr7Sm2Dy3, as listed in Alexandria via LeMat-Bulk.

Computed properties:
Its energy above the most stable polymorph in this dataset is 0 meV per atom. The formation energy is 0.8 eV/f.u. Its calculated total energy is -0.1712 Ha/atom. Its density of states at the Fermi level is 1.4847 states/eV per atom.

a = 6.550 Å, b = 3.597 Å, c = 17.785 Å
α = 90.00°, β = 95.72°, γ = 90.00°
Space group P2/m (No. 10)
Unique sites:
Pr  0.000  0.000  0.000 [1 per cell]
Pr  0.226  0.500  0.172 [2 per cell]
Pr  0.258  0.500  0.494 [2 per cell]
Pr  0.279  0.000  0.834 [2 per cell]
Sm  0.059  0.500  0.670 [2 per cell]
Dy  0.456  0.000  0.340 [2 per cell]
Dy  0.500  0.500  0.000 [1 per cell]